# Ca2TiO | Alexandria | GGA-PBE | optimized geometry
# Theoretical density (Mg/m³): 2.18
# Calculated total energy (eV/atom): -4.96
# Energy relative to the elements, uncorrected (meV/atom): -745
data_Ca2TiO
_chemical_formula_sum 'Ca8 Ti4 O4'
_cell_length_a 6.9036
_cell_length_b 6.9036
_cell_length_c 9.2225
_cell_angle_alpha 90.00
_cell_angle_beta 90.00
_cell_angle_gamma 90.00
_space_group_name_H-M_alt 'I -4 2 d'
_space_group_IT_number 122
_space_group_name_Hall 'I -4 2bw'
loop_
_atom_site_label
_atom_site_fract_x
_atom_site_fract_y
_atom_site_fract_z
Ca1 0.1033 0.7500 0.1250
Ti1 0.0000 0.0000 0.5000
O1 0.0000 0.0000 0.0000

# CaTi4O9 | Alexandria | GGA-PBE | optimized geometry
# Theoretical density (Mg/m³): 3.38
# Calculated total energy (eV/atom): -8.57
# Energy relative to the elements, uncorrected (meV/atom): -2986
data_CaTi4O9
_chemical_formula_sum 'Ca2 Ti8 O18'
_cell_length_a 8.5325
_cell_length_b 8.5325
_cell_length_c 5.0668
_cell_angle_alpha 90.00
_cell_angle_beta 90.00
_cell_angle_gamma 90.00
_space_group_name_H-M_alt 'P 4/n'
_space_group_IT_number 85
loop_
_space_group_symop_operation_xyz
'x,y,z'
'-x,-y,-z'
'-y+1/2,x,z'
'y+1/2,-x,-z'
'-x+1/2,-y+1/2,z'
'x+1/2,y+1/2,-z'
'y,-x+1/2,z'
'-y,x+1/2,-z'
loop_
_atom_site_label
_atom_site_fract_x
_atom_site_fract_y
_atom_site_fract_z
Ca1 0.2500 0.2500 0.1472
Ti1 0.0348 0.6593 0.3724
O1 0.0049 0.3209 0.9502
O2 0.0434 0.1443 0.4729
O3 0.2500 0.7500 0.5000

# CaTi2O | Alexandria | GGA-PBE | optimized geometry
# Theoretical density (Mg/m³): 2.88
# Calculated total energy (eV/atom): -6.68
# Energy relative to the elements, uncorrected (meV/atom): -988
data_CaTi2O
_chemical_formula_sum 'Ca4 Ti8 O4'
_cell_length_a 6.2792
_cell_length_b 6.2792
_cell_length_c 8.8792
_cell_angle_alpha 90.00
_cell_angle_beta 90.00
_cell_angle_gamma 90.00
_space_group_name_H-M_alt 'I -4 2 d'
_space_group_IT_number 122
_space_group_name_Hall 'I -4 2bw'
loop_
_atom_site_label
_atom_site_fract_x
_atom_site_fract_y
_atom_site_fract_z
Ca1 0.0000 0.0000 0.0000
Ti1 0.0180 0.2500 0.6250
O1 0.0000 0.0000 0.5000

# CaTi2O5 | Alexandria | GGA-PBE | optimized geometry
# Theoretical density (Mg/m³): 3.34
# Excess energy over the best structure of this formula in the dataset (meV/atom): 0
# Calculated total energy (eV/atom): -8.43
# Energy relative to the elements, uncorrected (meV/atom): -3108
data_CaTi2O5
_chemical_formula_sum 'Ca2 Ti4 O10'
_cell_length_a 3.6180
_cell_length_b 11.7545
_cell_length_c 5.0498
_cell_angle_alpha 90.00
_cell_angle_beta 90.00
_cell_angle_gamma 90.00
_space_group_name_H-M_alt 'P m m n'
_space_group_IT_number 59
loop_
_space_group_symop_operation_xyz
'x,y,z'
'-x,-y,-z'
'-x+1/2,-y+1/2,z'
'x+1/2,y+1/2,-z'
'x+1/2,-y,-z'
'-x+1/2,y,z'
'-x,y+1/2,-z'
'x,-y+1/2,z'
loop_
_atom_site_label
_atom_site_fract_x
_atom_site_fract_y
_atom_site_fract_z
Ca1 0.2500 0.2500 0.1259
Ti1 0.2500 0.5997 0.4041
O1 0.2500 0.0749 0.4595
O2 0.2500 0.6302 0.0701
O3 0.2500 0.7500 0.5548

Question: Among the records above, which one has the lowest theoretical density?
Answer: Ca2TiO

Question: energy relative to the elements, uncorrected of number 1 (Ca2TiO)?
Answer: -745 meV/atom